First-principles (PBE) data for crystalline LaPr2Ga at its relaxed geometry, as listed in Alexandria via LeMat-Bulk.

Results
Its calculated volume is 30.97 Å³ per atom. The calculation puts the energy above the most stable polymorph in this dataset at 0.0 meV/atom. As for the formation energy: -0.2531 eV per atom. The density of states at the Fermi level is 4.32 states/eV/f.u.

Geometry as POSCAR:
```
LaPr2Ga
1.0
7.083 0.000 0.000
0.000 4.971 0.000
-1.057 0.000 7.036
La Pr Ga
2 4 2
Direct
0.080 0.250 0.313
0.920 0.750 0.687
0.308 0.750 0.082
0.387 0.750 0.617
0.613 0.250 0.383
0.692 0.250 0.918
0.193 0.250 0.817
0.807 0.750 0.183
```


First-principles (PBE) data for crystalline PrDyF at its relaxed geometry, as listed in Alexandria via LeMat-Bulk.

Results
As for the total energy: -5.29 eV/atom. Its calculated volume is 23.99 Å³ per atom. The density of states at the Fermi level is 2.35 states/eV/f.u.

Geometry as POSCAR:
```
PrDyF
1.0
3.806 0.000 0.000
-1.903 3.296 0.000
0.000 0.000 5.738
Pr Dy F
1 1 1
Direct
0.000 0.000 0.000
0.333 0.667 0.501
0.667 0.333 0.278
```


First-principles (PBE) data for crystalline Pu3Tl4SbS8 at its relaxed geometry, as listed in Alexandria via LeMat-Bulk.

Results
As for the total energy: -6.59 eV/atom. Its calculated volume is 26.89 Å³ per atom. The density of states at the Fermi level is 26.69 states/eV/f.u.

Geometry as POSCAR:
```
Pu3Tl4SbS8
1.0
4.089 2.361 7.428
-4.089 2.361 7.428
0.000 -4.721 7.428
Pu Tl Sb S
3 4 1 8
Direct
0.000 0.500 0.500
0.500 0.000 0.500
0.500 0.500 0.000
0.000 0.000 0.500
0.000 0.500 0.000
0.500 0.000 0.000
0.500 0.500 0.500
0.000 0.000 0.000
0.232 0.232 0.732
0.232 0.732 0.232
0.268 0.768 0.768
0.269 0.269 0.269
0.731 0.731 0.731
0.732 0.232 0.232
0.768 0.268 0.768
0.768 0.768 0.268
```


First-principles (PBE) data for crystalline Nd5BiTe4 at its relaxed geometry, as listed in Alexandria via LeMat-Bulk.

Results
As for the total energy: -5.37 eV/atom. Its calculated volume is 32.68 Å³ per atom. The density of states at the Fermi level is 4.74 states/eV/f.u.

Geometry as POSCAR:
```
Nd5BiTe4
1.0
-2.262 3.191 11.319
2.262 -3.191 11.319
2.262 3.191 -11.319
Nd Bi Te
5 1 4
Direct
0.000 0.000 0.000
0.200 0.200 0.000
0.399 0.399 0.000
0.601 0.601 0.000
0.800 0.800 0.000
0.500 0.000 0.500
0.100 0.600 0.500
0.299 0.799 0.500
0.701 0.201 0.500
0.900 0.400 0.500
```


First-principles (PBE) data for crystalline BaHgRu2 at its relaxed geometry, as listed in Alexandria via LeMat-Bulk.

Results
Its calculated volume is 27.26 Å³ per atom. As for the formation energy: 0.3191 eV per atom. The density of states at the Fermi level is 3.10 states/eV/f.u.

Geometry as POSCAR:
```
BaHgRu2
1.0
4.263 -2.239 0.000
4.263 2.239 0.000
-2.708 0.000 5.711
Ba Hg Ru
1 1 2
Direct
0.000 0.000 0.000
0.500 0.500 0.500
0.197 0.197 0.533
0.803 0.803 0.467
```


First-principles (PBE) data for crystalline RbPdO2 at its relaxed geometry, as listed in Alexandria via LeMat-Bulk.

Results
As for the total energy: -4.59 eV/atom. Its calculated volume is 20.15 Å³ per atom. The density of states at the Fermi level is 2.25 states/eV/f.u.

Geometry as POSCAR:
```
RbPdO2
1.0
-2.778 2.778 5.224
2.778 -2.778 5.224
2.778 2.778 -5.224
Rb Pd O
2 2 4
Direct
0.000 0.000 0.000
0.750 0.250 0.500
0.250 0.750 0.500
0.500 0.500 0.000
0.259 0.625 0.134
0.375 0.509 0.634
0.491 0.125 0.866
0.875 0.741 0.366
```


First-principles (PBE) data for crystalline AcPmPtRh at its relaxed geometry, as listed in Alexandria via LeMat-Bulk.

Results
Its calculated volume is 24.33 Å³ per atom. The calculation puts the energy above the most stable polymorph in this dataset at 106.7 meV/atom. As for the formation energy: -0.8137 eV per atom. The density of states at the Fermi level is 2.08 states/eV/f.u.

Geometry as POSCAR:
```
AcPmPtRh
1.0
0.000 3.651 3.651
3.651 0.000 3.651
3.651 3.651 0.000
Ac Pm Pt Rh
1 1 1 1
Direct
0.000 0.000 0.000
0.500 0.500 0.500
0.250 0.250 0.250
0.750 0.750 0.750
```


First-principles (PBE) data for crystalline SnSb2MoI at its relaxed geometry, as listed in Alexandria via LeMat-Bulk.

Results
Its calculated volume is 31.69 Å³ per atom. The calculation puts the energy above the most stable polymorph in this dataset at 0.0 meV/atom. The density of states at the Fermi level is 4.27 states/eV/f.u.

Geometry as POSCAR:
```
SnSb2MoI
1.0
5.191 0.000 0.000
0.000 5.191 0.000
0.000 0.000 5.882
Sn Sb Mo I
1 2 1 1
Direct
0.000 0.000 0.000
0.000 0.500 0.500
0.500 0.000 0.500
0.500 0.500 0.500
0.500 0.500 0.000
```


First-principles (PBE) data for crystalline Tb3Ce2HoSb6 at its relaxed geometry, as listed in Alexandria via LeMat-Bulk.

Results
As for the total energy: -5.70 eV/atom. Its calculated volume is 30.70 Å³ per atom. The density of states at the Fermi level is 14.15 states/eV/f.u.

Geometry as POSCAR:
```
Tb3Ce2HoSb6
1.0
9.648 -2.215 0.000
9.648 2.215 0.000
-2.047 0.000 8.621
Tb Ce Ho Sb
3 2 1 6
Direct
0.000 0.000 0.000
0.333 0.333 0.666
0.667 0.667 0.334
0.334 0.334 0.168
0.666 0.666 0.832
0.000 0.000 0.500
0.166 0.166 0.086
0.166 0.166 0.579
0.498 0.498 0.748
0.502 0.502 0.252
0.834 0.834 0.421
0.834 0.834 0.914
```


First-principles (PBE) data for crystalline CaLaCd at its relaxed geometry, as listed in Alexandria via LeMat-Bulk.

Results
Its calculated volume is 36.60 Å³ per atom. The calculation puts the energy above the most stable polymorph in this dataset at 594.3 meV/atom. As for the formation energy: 0.3833 eV per atom. The density of states at the Fermi level is 4.92 states/eV/f.u.

Geometry as POSCAR:
```
CaLaCd
1.0
0.000 3.801 3.801
3.801 0.000 3.801
3.801 3.801 0.000
Ca La Cd
1 1 1
Direct
0.000 0.000 0.000
0.750 0.750 0.750
0.500 0.500 0.500
```


First-principles (PBE) data for crystalline DyHgF4 at its relaxed geometry, as listed in Alexandria via LeMat-Bulk.

Results
As for the total energy: -5.00 eV/atom. Its calculated volume is 19.27 Å³ per atom. The density of states at the Fermi level is 1.26 states/eV/f.u.

Geometry as POSCAR:
```
DyHgF4
1.0
-3.824 3.824 3.952
3.824 -3.824 3.952
3.824 3.824 -3.952
Dy Hg F
2 2 8
Direct
0.000 0.000 0.000
0.750 0.250 0.500
0.270 0.770 0.500
0.520 0.520 0.000
0.409 0.199 0.210
0.545 0.232 0.687
0.545 0.858 0.313
0.608 0.795 0.813
0.949 0.239 0.290
0.949 0.659 0.710
0.982 0.795 0.187
0.989 0.199 0.790
```


First-principles (PBE) data for crystalline La4AlZn2Cd at its relaxed geometry, as listed in Alexandria via LeMat-Bulk.

Results
Its calculated volume is 27.87 Å³ per atom. As for the formation energy: -0.3206 eV per atom. The density of states at the Fermi level is 9.20 states/eV/f.u.

Geometry as POSCAR:
```
La4AlZn2Cd
1.0
2.696 1.557 8.855
-2.696 1.557 8.855
0.000 -3.113 8.855
La Al Zn Cd
4 1 2 1
Direct
0.122 0.122 0.122
0.372 0.372 0.372
0.628 0.628 0.628
0.878 0.878 0.878
0.000 0.000 0.000
0.249 0.249 0.249
0.751 0.751 0.751
0.500 0.500 0.500
```


First-principles (PBE) data for crystalline RbCo2S2 at its relaxed geometry, as listed in Alexandria via LeMat-Bulk.

Results
Its calculated volume is 18.79 Å³ per atom. The calculation puts the energy above the most stable polymorph in this dataset at 0.0 meV/atom. The density of states at the Fermi level is 4.05 states/eV/f.u.

Geometry as POSCAR:
```
RbCo2S2
1.0
-1.881 1.881 6.641
1.881 -1.881 6.641
1.881 1.881 -6.641
Rb Co S
1 2 2
Direct
0.000 0.000 0.000
0.250 0.750 0.500
0.750 0.250 0.500
0.339 0.339 0.000
0.661 0.661 0.000
```


First-principles (PBE) data for crystalline Pm5Sm6Tl at its relaxed geometry, as listed in Alexandria via LeMat-Bulk.

Results
Its calculated volume is 32.91 Å³ per atom. As for the formation energy: -0.0346 eV per atom. The density of states at the Fermi level is 15.05 states/eV/f.u.

Geometry as POSCAR:
```
Pm5Sm6Tl
1.0
-2.523 5.102 7.670
2.523 -5.102 7.670
2.523 5.102 -7.670
Pm Sm Tl
5 6 1
Direct
0.000 0.000 0.000
0.163 0.663 0.500
0.332 0.332 0.000
0.668 0.668 0.000
0.837 0.337 0.500
0.090 0.835 0.255
0.256 0.500 0.756
0.419 0.165 0.255
0.581 0.835 0.745
0.744 0.500 0.244
0.910 0.165 0.745
0.500 0.000 0.500
```


First-principles (PBE) data for crystalline U4Se6Cl at its relaxed geometry, as listed in Alexandria via LeMat-Bulk.

Results
As for the total energy: -7.26 eV/atom. Its calculated volume is 24.30 Å³ per atom. The density of states at the Fermi level is 29.11 states/eV/f.u.

Geometry as POSCAR:
```
U4Se6Cl
1.0
8.929 0.000 0.000
-4.465 7.733 0.000
0.000 0.000 3.871
U Se Cl
4 6 1
Direct
0.000 0.000 0.000
0.025 0.512 0.500
0.488 0.512 0.500
0.488 0.975 0.500
0.207 0.413 0.000
0.207 0.793 0.000
0.281 0.140 0.500
0.587 0.793 0.000
0.860 0.140 0.500
0.860 0.719 0.500
0.667 0.333 0.000
```


First-principles (PBE) data for crystalline Pm2YEr5Tm at its relaxed geometry, as listed in Alexandria via LeMat-Bulk.

Results
Its calculated volume is 31.79 Å³ per atom. As for the formation energy: 0.2767 eV per atom. The density of states at the Fermi level is 11.62 states/eV/f.u.

Geometry as POSCAR:
```
Pm2YEr5Tm
1.0
-4.294 4.294 7.761
4.294 -4.294 7.761
4.294 4.294 -7.761
Pm Y Er Tm
4 2 10 2
Direct
0.117 0.617 0.734
0.383 0.117 0.500
0.617 0.883 0.500
0.883 0.383 0.266
0.250 0.250 0.000
0.750 0.750 0.000
0.000 0.000 0.000
0.073 0.148 0.500
0.148 0.648 0.076
0.352 0.427 0.500
0.427 0.927 0.076
0.500 0.500 0.000
0.573 0.073 0.924
0.648 0.573 0.500
0.852 0.352 0.924
0.927 0.852 0.500
0.250 0.750 0.500
0.750 0.250 0.500
```


First-principles (PBE) data for crystalline SrLiCl2 at its relaxed geometry, as listed in Alexandria via LeMat-Bulk.

Results
Its calculated volume is 24.04 Å³ per atom. The calculation puts the energy above the most stable polymorph in this dataset at 97.1 meV/atom. The density of states at the Fermi level is 0.75 states/eV/f.u.

Geometry as POSCAR:
```
SrLiCl2
1.0
-1.905 3.058 4.125
1.905 -3.058 4.125
1.905 3.058 -4.125
Sr Li Cl
1 1 2
Direct
0.000 0.000 0.000
0.500 0.500 0.000
0.302 0.802 0.500
0.698 0.198 0.500
```


First-principles (PBE) data for crystalline Pm2CdGa3Ir4 at its relaxed geometry, as listed in Alexandria via LeMat-Bulk.

Results
Its calculated volume is 19.40 Å³ per atom. As for the formation energy: -0.5763 eV per atom. The density of states at the Fermi level is 4.86 states/eV/f.u.

Geometry as POSCAR:
```
Pm2CdGa3Ir4
1.0
4.246 0.000 0.000
0.000 4.246 0.000
0.000 0.000 10.762
Pm Cd Ga Ir
2 1 3 4
Direct
0.000 0.500 0.234
0.500 0.000 0.766
0.000 0.000 0.500
0.000 0.500 0.878
0.500 0.000 0.122
0.500 0.500 0.500
0.000 0.000 0.000
0.000 0.500 0.650
0.500 0.000 0.350
0.500 0.500 0.000
```


First-principles (PBE) data for crystalline UCrTe at its relaxed geometry, as listed in Alexandria via LeMat-Bulk.

Results
As for the total energy: -7.97 eV/atom. Its calculated volume is 21.81 Å³ per atom. The density of states at the Fermi level is 2.87 states/eV/f.u.

Geometry as POSCAR:
```
UCrTe
1.0
4.002 0.000 0.000
0.000 6.096 0.000
-1.014 0.000 5.364
U Cr Te
2 2 2
Direct
0.224 0.000 0.310
0.776 0.500 0.690
0.433 0.849 0.038
0.567 0.349 0.962
0.148 0.502 0.253
0.852 0.002 0.747
```


First-principles (PBE) data for crystalline LuPdO2 at its relaxed geometry, as listed in Alexandria via LeMat-Bulk.

Results
As for the total energy: -6.84 eV/atom. Its calculated volume is 13.24 Å³ per atom. The density of states at the Fermi level is 3.27 states/eV/f.u.

Geometry as POSCAR:
```
LuPdO2
1.0
1.704 0.984 5.263
-1.704 0.984 5.263
0.000 -1.968 5.263
Lu Pd O
1 1 2
Direct
0.000 0.000 0.000
0.500 0.500 0.500
0.267 0.267 0.267
0.733 0.733 0.733
```


First-principles (PBE) data for crystalline HoTmTl2 at its relaxed geometry, as listed in Alexandria via LeMat-Bulk.

Results
Its calculated volume is 26.79 Å³ per atom. The calculation puts the energy above the most stable polymorph in this dataset at 0.0 meV/atom. As for the formation energy: -0.3131 eV per atom. The density of states at the Fermi level is 2.53 states/eV/f.u.

Geometry as POSCAR:
```
HoTmTl2
1.0
0.000 3.770 3.770
3.770 0.000 3.770
3.770 3.770 0.000
Ho Tm Tl
1 1 2
Direct
0.000 0.000 0.000
0.500 0.500 0.500
0.250 0.250 0.250
0.750 0.750 0.750
```


First-principles (PBE) data for crystalline Li3AlZn3 at its relaxed geometry, as listed in Alexandria via LeMat-Bulk.

Results
Its calculated volume is 16.22 Å³ per atom. As for the formation energy: -0.1088 eV per atom. The density of states at the Fermi level is 1.88 states/eV/f.u.

Geometry as POSCAR:
```
Li3AlZn3
1.0
3.025 -4.332 0.000
3.025 4.332 0.000
-0.011 0.000 8.664
Li Al Zn
6 2 6
Direct
0.176 0.824 0.000
0.234 0.766 0.500
0.498 0.498 0.187
0.502 0.502 0.813
0.766 0.234 0.500
0.824 0.176 0.000
0.281 0.281 0.500
0.719 0.719 0.500
0.000 0.000 0.260
0.000 0.000 0.740
0.001 0.500 0.740
0.500 0.001 0.740
0.500 0.999 0.260
0.999 0.500 0.260
```


First-principles (PBE) data for crystalline AlPtC2 at its relaxed geometry, as listed in Alexandria via LeMat-Bulk.

Results
Its calculated volume is 12.80 Å³ per atom. As for the formation energy: 0.7114 eV per atom. The density of states at the Fermi level is 1.38 states/eV/f.u.

Geometry as POSCAR:
```
AlPtC2
1.0
-2.374 2.374 4.544
2.374 -2.374 4.544
2.374 2.374 -4.544
Al Pt C
2 2 4
Direct
0.000 0.000 0.000
0.750 0.250 0.500
0.250 0.750 0.500
0.500 0.500 0.000
0.127 0.625 0.002
0.375 0.377 0.502
0.623 0.125 0.998
0.875 0.873 0.498
```


First-principles (PBE) data for crystalline Pr2GaBiO6 at its relaxed geometry, as listed in Alexandria via LeMat-Bulk.

Results
As for the total energy: -6.88 eV/atom. Its calculated volume is 16.07 Å³ per atom. The density of states at the Fermi level is 0.00 states/eV/f.u.

Geometry as POSCAR:
```
Pr2GaBiO6
1.0
5.465 0.000 0.000
0.000 5.465 0.000
0.000 0.000 5.379
Pr Ga Bi O
2 1 1 6
Direct
0.000 0.500 0.000
0.500 0.000 0.000
0.000 0.000 0.592
0.500 0.500 0.558
0.000 0.000 0.245
0.235 0.235 0.741
0.235 0.765 0.741
0.500 0.500 0.127
0.765 0.235 0.741
0.765 0.765 0.741
```